(1)
Ta2CuW, relaxed, DFT PBEsol; calculated volume = 64.3 Å³/cell; space group = R-3m, No. 166; relative energy among the computed polymorphs = 13.5 kJ per mole of atoms; theoretical density = 15.740 Mg/m³; DFT total energy = -10.47 eV per atom; E_form = 0.341 eV/atom
1.0
2.785 0.000 0.000
1.392 2.412 0.000
1.392 0.804 9.571
Ta W Cu
2 1 1
direct
0.254 0.254 0.237
0.746 0.746 0.763
0.500 0.500 0.500
0.000 0.000 0.000

***

(2)
ScCdSb2I, relaxed, DFT PBEsol; calculated volume = 165.9 Å³/cell; space group = P4/mmm, No. 123; raw formation energy = 0.4 eV per formula unit; theoretical density = 5.284 Mg/m³; DFT total energy = -3.65 eV per atom
1.0
5.501 0.000 0.000
0.000 5.501 0.000
0.000 0.000 5.482
I Sb Sc Cd
1 2 1 1
direct
0.000 0.000 0.500
0.000 0.500 0.000
0.500 0.000 0.000
0.000 0.000 0.000
0.500 0.500 0.500

***

(3)
CdSnH2, relaxed, DFT PBEsol; calculated volume = 120.6 Å³/cell; space group = I-42d, No. 122; theoretical density = 6.418 Mg/m³; DFT total energy = -2.58 eV per atom
1.0
5.365 0.000 0.000
-2.683 4.976 0.071
0.000 2.827 4.560
Cd H Sn
2 4 2
direct
0.250 0.500 0.250
0.500 0.000 0.500
0.375 0.250 0.212
0.212 0.750 0.875
0.538 0.750 0.375
0.875 0.250 0.538
0.750 0.500 0.750
0.000 0.000 0.000

***

(4)
Zn2SiAg, relaxed, DFT PBEsol; calculated volume = 60.0 Å³/cell; space group = I-4m2, No. 119; raw formation energy = 0.6 eV per formula unit; theoretical density = 7.380 Mg/m³; DFT total energy = -2.91 eV per atom
1.0
-0.363 1.783 3.443
0.343 -3.429 1.812
3.936 1.302 -2.462
Si Zn Ag
1 2 1
direct
0.250 0.750 0.500
0.000 0.000 0.000
0.750 0.250 0.500
0.500 0.500 0.000

***

(5)
Ag2Pt, relaxed, DFT PBEsol; calculated volume = 190.5 Å³/cell; space group = C2/c, No. 15; relative energy among the computed polymorphs = 2.2 kJ per mole of atoms; theoretical density = 14.324 Mg/m³; DFT total energy = -4.51 eV per atom; E_form = 0.016 eV/atom
1.0
-1.765 -3.832 2.402
5.484 -2.338 2.154
-0.460 2.649 5.740
Pt Ag
4 8
direct
0.500 0.000 0.500
0.250 0.414 0.586
0.750 0.586 0.414
0.000 0.500 0.000
0.005 0.169 0.333
0.495 0.667 0.831
0.505 0.333 0.169
0.250 0.747 0.253
0.750 0.253 0.747
0.995 0.831 0.667
0.250 0.086 0.914
0.750 0.914 0.086

***

(6)
In3W, relaxed, DFT PBEsol; calculated volume = 79.9 Å³/cell; space group = C2/m, No. 12; relative energy among the computed polymorphs = 0.0 kJ per mole of atoms; theoretical density = 10.976 Mg/m³; DFT total energy = -5.21 eV per atom; E_form = 0.478 eV/atom
1.0
-2.109 1.824 1.012
-3.389 -3.914 -0.009
2.818 -1.588 4.387
W In
1 3
direct
0.000 0.000 0.000
0.736 0.236 0.472
0.264 0.764 0.528
0.500 0.500 0.000

***

(7)
Mo2IrPdPb, relaxed, DFT PBEsol; calculated volume = 117.7 Å³/cell; space group = P4/mmm, No. 123; theoretical density = 9.845 Mg/m³; DFT total energy = -5.87 eV per atom; E_form = 2.790 eV/atom
1.0
-0.276 1.412 -4.583
-4.716 -1.492 -0.175
-1.475 4.490 1.472
Pb Mo Ir Pd
1 2 1 1
direct
0.000 0.000 0.000
0.000 0.500 0.000
0.000 0.000 0.500
0.500 0.000 0.000
0.500 0.500 0.500

***

(8)
Al4Sb3, relaxed, DFT PBEsol; calculated volume = 167.2 Å³/cell; space group = P6/mmm, No. 191; relative energy among the computed polymorphs = 22.8 kJ per mole of atoms; raw formation energy = 2.8 eV per formula unit; theoretical density = 4.700 Mg/m³; DFT total energy = -3.89 eV per atom
1.0
4.978 0.000 0.000
0.000 6.228 0.000
0.000 -3.114 5.393
Sb Al
3 4
direct
0.000 0.500 0.500
0.000 0.500 0.000
0.000 0.000 0.500
0.500 0.333 0.667
0.500 0.667 0.333
0.248 0.000 0.000
0.752 0.000 0.000

***

(9)
NaZrPCl2, relaxed, DFT PBEsol; calculated volume = 107.5 Å³/cell; space group = P4/mmm, No. 123; relative energy among the computed polymorphs = 100.5 kJ per mole of atoms; raw formation energy = 0.0 eV per formula unit; theoretical density = 3.339 Mg/m³; DFT total energy = -4.06 eV per atom
1.0
4.470 0.000 0.000
0.000 4.470 0.000
0.000 0.000 5.380
Cl Na P Zr
2 1 1 1
direct
0.500 0.000 0.000
0.000 0.500 0.000
0.000 0.000 0.000
0.000 0.000 0.500
0.500 0.500 0.500

***

(10)
ScZnRu3, relaxed, DFT PBEsol; calculated volume = 87.0 Å³/cell; space group = Pm-3m, No. 221; theoretical density = 7.893 Mg/m³; DFT total energy = -6.65 eV per atom; E_form = 1.095 eV/atom
1.0
4.431 0.000 0.000
0.000 4.431 0.000
0.000 0.000 4.431
Ru Zn Sc
3 1 1
direct
0.500 0.000 0.000
0.000 0.500 0.000
0.000 0.000 0.500
0.000 0.000 0.000
0.500 0.500 0.500

***

(11)
Ta2MoAs, relaxed, DFT PBEsol; calculated volume = 65.2 Å³/cell; space group = P4/mmm, No. 123; theoretical density = 13.561 Mg/m³; DFT total energy = -10.65 eV per atom; E_form = -0.154 eV/atom
1.0
-2.805 1.713 0.612
-1.663 -1.959 -2.139
-1.287 -3.665 4.357
Ta As Mo
2 1 1
direct
0.000 0.000 0.754
0.000 0.000 0.246
0.500 0.500 0.000
0.500 0.500 0.500

***

(12)
LaCd2Fe, relaxed, DFT PBEsol; calculated volume = 84.1 Å³/cell; space group = P2/m, No. 10; theoretical density = 8.284 Mg/m³; DFT total energy = -4.04 eV per atom; E_form = 0.138 eV/atom
1.0
-0.993 3.245 0.100
-1.497 -0.313 -4.740
-4.004 -3.102 1.469
Cd La Fe
2 1 1
direct
0.145 0.000 0.783
0.855 0.000 0.217
0.500 0.500 0.500
0.500 0.500 0.000

***

(13)
CaCu2Rh, relaxed, DFT PBEsol; calculated volume = 60.7 Å³/cell; space group = R-3m, No. 166; relative energy among the computed polymorphs = 42.4 kJ per mole of atoms; theoretical density = 7.391 Mg/m³; DFT total energy = -4.24 eV per atom; E_form = 0.499 eV/atom
1.0
2.803 0.000 0.000
1.402 2.428 0.000
1.402 0.809 8.915
Rh Cu Ca
1 2 1
direct
0.500 0.500 0.500
0.243 0.243 0.272
0.757 0.757 0.728
0.000 0.000 0.000

***

(14)
SrZn2Ag, relaxed, DFT PBEsol; calculated volume = 83.7 Å³/cell; space group = F-43m, No. 216; theoretical density = 6.475 Mg/m³; DFT total energy = -2.10 eV per atom; E_form = -0.018 eV/atom
1.0
4.910 0.000 0.000
2.455 4.252 0.000
2.455 1.417 4.009
Zn Ag Sr
2 1 1
direct
0.250 0.250 0.250
0.000 0.000 0.000
0.500 0.500 0.500
0.750 0.750 0.750

***

(15)
Ta2Ru3, relaxed, DFT PBEsol; calculated volume = 150.9 Å³/cell; space group = Fdd2, No. 43; relative energy among the computed polymorphs = 0.0 kJ per mole of atoms; theoretical density = 14.634 Mg/m³; DFT total energy = -11.33 eV per atom; E_form = -0.210 eV/atom
1.0
4.920 0.000 0.000
2.460 4.711 0.000
-2.460 0.000 6.513
Ru Ta
6 4
direct
0.435 0.118 0.803
0.057 0.000 0.000
0.307 0.500 0.500
0.749 0.882 0.197
0.802 0.382 0.303
0.881 0.618 0.697
0.891 0.083 0.606
0.368 0.917 0.394
0.535 0.583 0.894
0.224 0.417 0.106

***

(16)
RbCa2LaBi, relaxed, DFT PBEsol; calculated volume = 251.5 Å³/cell; space group = P4/mmm, No. 123; theoretical density = 3.390 Mg/m³; DFT total energy = -2.69 eV per atom; E_form = 0.294 eV/atom
1.0
6.199 0.000 0.000
0.000 6.370 0.000
0.000 0.000 6.370
Ca Bi Rb La
2 1 1 1
direct
0.000 0.000 0.500
0.000 0.500 0.000
0.500 0.000 0.000
0.500 0.500 0.500
0.000 0.000 0.000

***

(17)
Sn2PdNO, relaxed, DFT PBEsol; calculated volume = 87.4 Å³/cell; space group = P4/mmm, No. 123; raw formation energy = 1.9 eV per formula unit; theoretical density = 7.104 Mg/m³; DFT total energy = -5.28 eV per atom
1.0
3.838 0.000 0.000
0.000 4.771 0.000
0.000 0.000 4.771
Sn N O Pd
2 1 1 1
direct
0.000 0.500 0.000
0.000 0.000 0.500
0.000 0.000 0.000
0.500 0.500 0.500
0.500 0.000 0.000

***

(18)
Sb2PbSe, relaxed, DFT PBEsol; calculated volume = 111.1 Å³/cell; space group = P4mm, No. 99; relative energy among the computed polymorphs = 16.6 kJ per mole of atoms; raw formation energy = -0.1 eV per formula unit; theoretical density = 7.919 Mg/m³; DFT total energy = -4.26 eV per atom
1.0
-2.283 -2.783 1.006
1.098 -1.976 -2.976
5.845 -3.239 4.307
Pb Sb Se
1 2 1
direct
0.500 0.500 0.701
0.000 0.000 0.041
0.500 0.500 0.226
0.000 0.000 0.532

***

(19)
LuAlAg2, relaxed, DFT PBEsol; calculated volume = 72.9 Å³/cell; space group = Fm-3m, No. 225; theoretical density = 9.511 Mg/m³; DFT total energy = -4.26 eV per atom; E_form = -0.362 eV/atom
1.0
4.690 0.000 0.000
2.345 4.061 0.000
2.345 1.354 3.829
Lu Ag Al
1 2 1
direct
0.000 0.000 0.000
0.750 0.750 0.750
0.250 0.250 0.250
0.500 0.500 0.500

***

(20)
ZnCu2Tc, relaxed, DFT PBEsol; calculated volume = 49.9 Å³/cell; space group = Cmm2, No. 35; theoretical density = 9.669 Mg/m³; DFT total energy = -5.30 eV per atom; E_form = 0.084 eV/atom
1.0
-0.780 1.195 2.130
-2.424 -0.086 -0.831
-0.935 -6.707 3.422
Tc Zn Cu
1 1 2
direct
0.000 0.000 0.507
0.500 0.500 0.237
0.500 0.500 0.761
0.000 0.000 0.995